Entry 1:
Mg2AuBr | PBE | optimized geometry

a = 5.1638 Å, b = 5.1638 Å, c = 5.1638 Å
α = 126.39°, β = 126.39°, γ = 79.25°
With the nearest neighbours (Å) after each atom.
Element x y z (fractional)
Mg 0.2500 0.7500 0.5000  4 Br 3.06, 4 Au 3.06, 4 Mg 3.29
Mg 0.7500 0.2500 0.5000  4 Br 3.06, 4 Au 3.06, 4 Mg 3.29
Au 0.0000 0.0000 0.0000  8 Mg 3.06, 4 Br 3.29
Br 0.5000 0.5000 0.0000  8 Mg 3.06, 4 Au 3.29

Results
energy relative to the lowest polymorph listed for this composition: 1.40 eV per formula unit


Entry 2:
PmCoTcB2 | PBE | optimized geometry

a = 5.6498 Å, b = 5.6498 Å, c = 5.6498 Å
α = 140.83°, β = 140.83°, γ = 56.60°
With the nearest neighbours (Å) after each atom.
Element x y z (fractional)
Pm 0.0000 0.0000 0.0000  4 Tc 3.13, 4 Co 3.13, 10 B 3.13-3.36
Co 0.2500 0.7500 0.5000  4 B 2.08
Tc 0.7500 0.2500 0.5000  4 B 2.08
B 0.3376 0.3376 0.0000  2 Tc 2.08, 2 Co 2.08
B 0.6624 0.6624 0.0000  2 Co 2.08, 2 Tc 2.08

Results
VASP energy: -37.374 eV/f.u.


Entry 3:
NaMnBiOs | PBE | optimized geometry

a = 3.0734 Å, b = 8.9358 Å, c = 8.9358 Å
α = 19.59°, β = 90.00°, γ = 90.00°
With the nearest neighbours (Å) after each atom.
Element x y z (fractional)
Na 0.0000 0.0000 0.0000  4 Na 3.04-3.07, 4 Os 3.13
Mn 0.0000 0.1993 0.1993  4 Os 2.50
Bi 0.5000 0.3396 0.3396  2 Mn 2.91, 4 Bi 3.04-3.07
Os 0.5000 0.6284 0.6284  4 Mn 2.50

Results
energy relative to the lowest polymorph listed for this composition: 0.07 eV per formula unit